Record 1
Entry from the Alexandria database: an optimized crystal structure of KZrRh2Pb (GGA-PBE).

CIF file:
```
data_KZrRh2Pb
_symmetry_space_group_name_H-M 'P 4/m m m'
_symmetry_Int_Tables_number 123
_symmetry_space_group_name_Hall '-P 4 2'
_cell_length_a 4.792
_cell_length_b 4.792
_cell_length_c 4.957
_cell_angle_alpha 90.00
_cell_angle_beta 90.00
_cell_angle_gamma 90.00
loop_
_atom_site_label
_atom_site_type_symbol
_atom_site_fract_x
_atom_site_fract_y
_atom_site_fract_z
K1 K 0.000 0.000 0.000
Zr1 Zr 0.000 0.000 0.500
Rh1 Rh 0.000 0.500 0.000
Pb1 Pb 0.500 0.500 0.500
```

Values from the calculation:
Its calculated total energy is -3.919 eV per atom. The value obtained for the calculated volume is 113.84 Å³ per cell.



Record 2
Entry from the Alexandria database: an optimized crystal structure of Sc4AlOs3 (GGA-PBE).

CIF file:
```
data_Sc4AlOs3
_symmetry_space_group_name_H-M 'P 4/m m m'
_symmetry_Int_Tables_number 123
_symmetry_space_group_name_Hall '-P 4 2'
_cell_length_a 4.575
_cell_length_b 4.575
_cell_length_c 6.569
_cell_angle_alpha 90.00
_cell_angle_beta 90.00
_cell_angle_gamma 90.00
loop_
_atom_site_label
_atom_site_type_symbol
_atom_site_fract_x
_atom_site_fract_y
_atom_site_fract_z
Sc1 Sc 0.000 0.500 0.238
Al1 Al 0.000 0.000 0.500
Os1 Os 0.000 0.000 0.000
Os2 Os 0.500 0.500 0.000
Os3 Os 0.500 0.500 0.500
```

Values from the calculation:
Its calculated total energy is -8.277 eV per atom. The value obtained for the calculated volume is 137.51 Å³ per cell.



Record 3
Entry from the Alexandria database: an optimized crystal structure of Eu2TmTl (GGA-PBE).

CIF file:
```
data_Eu2TmTl
_symmetry_space_group_name_H-M 'P 4/m m m'
_symmetry_Int_Tables_number 123
_symmetry_space_group_name_Hall '-P 4 2'
_cell_length_a 4.143
_cell_length_b 4.143
_cell_length_c 7.642
_cell_angle_alpha 90.00
_cell_angle_beta 90.00
_cell_angle_gamma 90.00
loop_
_atom_site_label
_atom_site_type_symbol
_atom_site_fract_x
_atom_site_fract_y
_atom_site_fract_z
Eu1 Eu 0.000 0.000 0.236
Tm1 Tm 0.500 0.500 0.500
Tl1 Tl 0.500 0.500 0.000
```

Values from the calculation:
The value obtained for the calculated volume is 131.19 Å³ per cell. The value obtained for the energy above the most stable polymorph in this dataset is 0.0463 eV/atom.



Record 4
Entry from the Alexandria database: an optimized crystal structure of TiCrTePS (GGA-PBE).

CIF file:
```
data_TiCrTePS
_symmetry_space_group_name_H-M 'P 1 m 1'
_symmetry_Int_Tables_number 6
_cell_length_a 4.644
_cell_length_b 3.679
_cell_length_c 6.078
_cell_angle_alpha 90.00
_cell_angle_beta 103.12
_cell_angle_gamma 90.00
loop_
_symmetry_equiv_pos_as_xyz
'x,y,z'
'x,-y,z'
loop_
_atom_site_label
_atom_site_type_symbol
_atom_site_fract_x
_atom_site_fract_y
_atom_site_fract_z
Ti1 Ti 0.000 0.000 0.000
Cr1 Cr 0.543 0.500 0.178
Te1 Te 0.847 0.500 0.619
P1 P 0.084 0.500 0.278
S1 S 0.479 0.000 0.942
```

Values from the calculation:
The value obtained for the calculated volume is 101.11 Å³ per cell. The uncorrected formation energy is -0.544 eV per atom. The value obtained for the energy above the most stable polymorph in this dataset is 0.1891 eV/atom.



Record 5
Entry from the Alexandria database: an optimized crystal structure of Ac2GaHPt6 (GGA-PBE).

CIF file:
```
data_Ac2GaHPt6
_symmetry_space_group_name_H-M 'P -1'
_symmetry_Int_Tables_number 2
_cell_length_a 5.879
_cell_length_b 5.889
_cell_length_c 7.085
_cell_angle_alpha 65.47
_cell_angle_beta 65.56
_cell_angle_gamma 60.14
loop_
_symmetry_equiv_pos_as_xyz
'x,y,z'
'-x,-y,-z'
loop_
_atom_site_label
_atom_site_type_symbol
_atom_site_fract_x
_atom_site_fract_y
_atom_site_fract_z
Ac1 Ac 0.222 0.222 0.333
Ga1 Ga 0.500 0.500 0.500
H1 H 0.000 0.000 0.000
Pt1 Pt 0.230 0.231 0.815
Pt2 Pt 0.230 0.723 0.816
Pt3 Pt 0.277 0.769 0.185
```

Values from the calculation:
Its calculated total energy is -5.870 eV per atom. The value obtained for the calculated volume is 186.75 Å³ per cell.



Record 6
Entry from the Alexandria database: an optimized crystal structure of CaSmHo2As4 (GGA-PBE).

CIF file:
```
data_CaSmHo2As4
_symmetry_space_group_name_H-M 'P 1 2/m 1'
_symmetry_Int_Tables_number 10
_cell_length_a 7.205
_cell_length_b 4.153
_cell_length_c 7.242
_cell_angle_alpha 90.00
_cell_angle_beta 109.29
_cell_angle_gamma 90.00
loop_
_symmetry_equiv_pos_as_xyz
'x,y,z'
'-x,-y,-z'
'-x,y,-z'
'x,-y,z'
loop_
_atom_site_label
_atom_site_type_symbol
_atom_site_fract_x
_atom_site_fract_y
_atom_site_fract_z
Ca1 Ca 0.000 0.000 0.000
Sm1 Sm 0.500 0.500 0.000
Ho1 Ho 0.000 0.500 0.500
Ho2 Ho 0.500 0.000 0.500
As1 As 0.248 0.000 0.741
As2 As 0.256 0.500 0.261
```

Values from the calculation:
Its calculated total energy is -5.675 eV per atom. The value obtained for the calculated volume is 204.53 Å³ per cell.



What did the sixth record say?
Entry from the Alexandria database: an optimized crystal structure of CaSmHo2As4 (GGA-PBE).

CIF file:
```
data_CaSmHo2As4
_symmetry_space_group_name_H-M 'P 1 2/m 1'
_symmetry_Int_Tables_number 10
_cell_length_a 7.205
_cell_length_b 4.153
_cell_length_c 7.242
_cell_angle_alpha 90.00
_cell_angle_beta 109.29
_cell_angle_gamma 90.00
loop_
_symmetry_equiv_pos_as_xyz
'x,y,z'
'-x,-y,-z'
'-x,y,-z'
'x,-y,z'
loop_
_atom_site_label
_atom_site_type_symbol
_atom_site_fract_x
_atom_site_fract_y
_atom_site_fract_z
Ca1 Ca 0.000 0.000 0.000
Sm1 Sm 0.500 0.500 0.000
Ho1 Ho 0.000 0.500 0.500
Ho2 Ho 0.500 0.000 0.500
As1 As 0.248 0.000 0.741
As2 As 0.256 0.500 0.261
```

Values from the calculation:
Its calculated total energy is -5.675 eV per atom. The value obtained for the calculated volume is 204.53 Å³ per cell.



Among the records above, which one has the highest calculated volume?
CaSmHo2As4



Which of these has the highest calculated volume?
CaSmHo2As4



What is the calculated volume in the second record?
137.51 Å³ per cell